# KMoBr3

A relaxed structure of KMoBr3 (PBE-GGA, Alexandria).

Cell: 5.452 5.452 5.452 Å, 90.00 90.00 90.00°
Each line ends with the local moment (μB).
Sites, in units of the cell vectors:
1 K 0.500 0.500 0.500  0.00
2 Br 0.000 0.500 0.000  0.04
3 Br 0.500 0.000 0.000  0.04
4 Mo 0.000 0.000 0.000  3.28
5 Br 0.000 0.000 0.500  0.04

Calculated values
- total energy (eV per formula unit) = -20.228
- total magnetic moment (μB per cell) = 4.0
- crystal system = cubic
- polymorph energy (0 for the lowest one) (eV per atom) = 0.1847
- calculated volume (Å³ per atom) = 32.4
- E_form (uncorrected) (eV/atom) = -0.6562

***

# ScCu2Pb

A relaxed structure of ScCu2Pb (PBE-GGA, Alexandria).

Cell: 4.240 3.563 5.293 Å, 70.40 90.00 90.00°
Sites, in units of the cell vectors:
1 Pb 0.000 0.470 0.434
2 Cu 0.000 0.193 0.986
3 Cu 0.500 0.064 0.249
4 Sc 0.500 0.772 0.830

Calculated values
- total energy (eV per formula unit) = -18.506
- total magnetic moment (μB per cell) = 0.0
- crystal system = monoclinic
- calculated volume (Å³ per atom) = 18.8
- ΔH_f (0 K) (eV per atom) = -0.07

***

# CoSb2Pb

A relaxed structure of CoSb2Pb (PBE-GGA, Alexandria).

Cell: 3.183 3.183 9.313 Å, 90.00 90.00 90.01°
Each line ends with the local moment (μB).
Sites, in units of the cell vectors:
1 Sb 0.000 0.000 0.420  0.00
2 Sb 0.000 0.000 0.080  0.00
3 Co 0.500 0.500 0.250  0.14
4 Pb 0.500 0.500 0.750  0.00

Calculated values
- total energy (eV per formula unit) = -18.635
- total magnetic moment (μB per cell) = 0.1
- crystal system = tetragonal
- calculated volume (Å³ per atom) = 23.6
- E_form (uncorrected) (eV/atom) = 0.1061

***

# EuLuIr4

A relaxed structure of EuLuIr4 (PBE-GGA, Alexandria).

Cell: 5.365 5.365 5.365 Å, 60.00 60.00 60.00°
Each line ends with the local moment (μB).
Sites, in units of the cell vectors:
1 Ir 0.126 0.625 0.625  -0.13
2 Lu 0.250 0.250 0.250  0.07
3 Ir 0.625 0.625 0.625  -0.13
4 Eu 0.000 0.000 0.000  6.65
5 Ir 0.625 0.625 0.126  -0.13
6 Ir 0.625 0.126 0.625  -0.13

Calculated values
- total energy (eV per formula unit) = -54.089
- total magnetic moment (μB per cell) = 6.4
- crystal system = cubic
- calculated volume (Å³ per atom) = 18.2
- ΔH_f (0 K) (eV per atom) = -0.64

***

Among the records above, which one has the highest calculated volume? KMoBr3

***

Among the records above, which one has the highest total energy? ScCu2Pb